No. 1
## Zn2OsSe (GGA-PBE)

Data for a geometry-optimized Zn2OsSe structure.

The crystal system is tetragonal. The energy relative to the elements, uncorrected comes out at 240 meV per atom. Its total energy is -4.076 eV per atom. Its theoretical density is 9573 kg/m3. For the density of states at the Fermi level, the calculation gives 0.198 states/eV/atom.

a = 2.9559 Å, b = 2.9559 Å, c = 7.9409 Å
α = 90.00°, β = 90.00°, γ = 90.00°
Last column: nearest neighbours and their distance in Å.
Space group P4mm (No. 99)
Inequivalent atoms, fractional coordinates:
1 Zn 0.0000 0.0000 0.0000 (multiplicity 1)  8 Zn 2.79-2.96
2 Zn 0.5000 0.5000 0.2330 (multiplicity 1)  4 Os 2.79, 8 Zn 2.79-2.96
3 Os 0.0000 0.0000 0.4654 (multiplicity 1)  4 Se 2.52, 4 Zn 2.79
4 Se 0.5000 0.5000 0.6430 (multiplicity 1)  4 Os 2.52


No. 2
## Ti4CoPd (GGA-PBE)

Data for a geometry-optimized Ti4CoPd structure.

The calculation puts the excess energy over the best structure of this formula in the dataset at 223.9 meV per atom. The crystal system is monoclinic. Its total energy is -7.454 eV per atom. Its theoretical density is 6349 kg/m3. As for the formation energy: -0.141 eV/atom. For the density of states at the Fermi level, the calculation gives 1.183 states/eV/atom.

a = 13.6529 Å, b = 2.9174 Å, c = 5.0326 Å
α = 90.00°, β = 111.38°, γ = 90.00°
Last column: nearest neighbours and their distance in Å.
Space group C2/m (No. 12)
Inequivalent atoms, fractional coordinates:
1 Ti 0.1602 0.0000 0.0020 (multiplicity 4)  2 Co 2.63, 1 Pd 2.67, 7 Ti 2.81-2.92
2 Ti 0.1629 0.5000 0.4886 (multiplicity 4)  1 Co 2.65, 2 Pd 2.68, 7 Ti 2.76-2.92
3 Co 0.0000 0.5000 0.0000 (multiplicity 2)  6 Ti 2.63-2.65, 4 Pd 2.91, 2 Co 2.92
4 Pd 0.0000 0.0000 0.5000 (multiplicity 2)  6 Ti 2.67-2.68, 4 Co 2.91, 2 Pd 2.92


No. 3
## Tc5Ag3 (GGA-PBE)

Data for a geometry-optimized Tc5Ag3 structure.

The calculation puts the excess energy over the best structure of this formula in the dataset at 0.0 meV per atom. The crystal system is triclinic. Its total energy is -6.975 eV per atom. Its theoretical density is 9871 kg/m3. As for the formation energy: 0.573 eV/atom. For the density of states at the Fermi level, the calculation gives 0.766 states/eV/atom.

a = 4.8573 Å, b = 7.6876 Å, c = 7.9618 Å
α = 82.74°, β = 74.83°, γ = 72.81°
Last column: nearest neighbours and their distance in Å.
Space group P-1 (No. 2)
Inequivalent atoms, fractional coordinates:
1 Tc 0.0662 0.2058 0.1768 (multiplicity 2)  3 Tc 2.45-2.58
2 Tc 0.2071 0.2302 0.8417 (multiplicity 2)  3 Tc 2.46-2.57, 2 Ag 2.67-2.74
3 Tc 0.2460 0.6532 0.2682 (multiplicity 2)  3 Tc 2.46-2.61, 2 Ag 2.68-2.71
4 Tc 0.2677 0.5090 0.9501 (multiplicity 2)  6 Tc 2.53-2.65
5 Tc 0.4040 0.3157 0.2905 (multiplicity 2)  3 Tc 2.45-2.65, 1 Ag 2.73
6 Ag 0.2129 0.5146 0.5971 (multiplicity 2)  9 Tc 2.68-2.97, 2 Ag 2.77-2.96
7 Ag 0.3050 0.9214 0.4567 (multiplicity 2)  2 Ag 2.78-2.79, 3 Tc 2.82-2.96
8 Ag 0.3107 0.8926 0.9899 (multiplicity 2)  8 Tc 2.67-2.89, 2 Ag 2.86-2.95


No. 4
## ZnSbIO2 (GGA-PBE)

Data for a geometry-optimized ZnSbIO2 structure.

The calculation puts the excess energy over the best structure of this formula in the dataset at 0.0 meV per atom. The crystal system is tetragonal. The energy relative to the elements, uncorrected comes out at -419 meV per atom. Its total energy is -3.792 eV per atom. Its theoretical density is 5076 kg/m3. For the density of states at the Fermi level, the calculation gives 0.208 states/eV/atom.

a = 4.0780 Å, b = 4.0780 Å, c = 6.8078 Å
α = 90.00°, β = 90.00°, γ = 90.00°
Last column: nearest neighbours and their distance in Å.
Space group P4/mmm (No. 123)
Inequivalent atoms, fractional coordinates:
1 Zn 0.0000 0.0000 0.0000 (multiplicity 1)  4 I 2.88
2 Sb 0.5000 0.5000 0.5000 (multiplicity 1)  4 O 2.04
3 I 0.5000 0.5000 0.0000 (multiplicity 1)  4 Zn 2.88
4 O 0.0000 0.5000 0.5000 (multiplicity 2)  2 Sb 2.04